(1)
Entry from Alexandria: a relaxed Tb2Ho2Sc crystal (PBE). Values from VASP.

Summary:
- symmetry = C2/m, No. 12
- offset from the most stable computed form (meV/atom) = 0

Structure (Quantum ESPRESSO input):
```
&SYSTEM
  ibrav = 0, nat = 10, ntyp = 3
/
ATOMIC_SPECIES
Tb 158.93 Tb.upf
Ho 164.93 Ho.upf
Sc 44.96 Sc.upf
CELL_PARAMETERS angstrom
5.504 -2.471 0.000
5.504 2.471 0.000
0.000 0.000 11.011
ATOMIC_POSITIONS crystal
Tb 0.049 0.049 0.349
Tb 0.152 0.152 0.049
Tb 0.848 0.848 0.951
Tb 0.951 0.951 0.651
Ho 0.348 0.348 0.450
Ho 0.450 0.450 0.152
Ho 0.550 0.550 0.848
Ho 0.652 0.652 0.550
Sc 0.250 0.250 0.750
Sc 0.750 0.750 0.250
```

***

(2)
Entry from Alexandria: a relaxed Ac2In13 crystal (PBE). Values from VASP.

Summary:
- symmetry = R-3m, No. 166

Structure (Quantum ESPRESSO input):
```
&SYSTEM
  ibrav = 0, nat = 15, ntyp = 2
/
ATOMIC_SPECIES
Ac 227.00 Ac.upf
In 114.82 In.upf
CELL_PARAMETERS angstrom
4.167 2.406 8.114
-4.167 2.406 8.114
0.000 -4.812 8.114
ATOMIC_POSITIONS crystal
Ac 0.237 0.237 0.237
Ac 0.763 0.763 0.763
In 0.000 0.000 0.000
In 0.148 0.738 0.738
In 0.150 0.501 0.501
In 0.262 0.262 0.852
In 0.262 0.852 0.262
In 0.499 0.499 0.850
In 0.499 0.850 0.499
In 0.501 0.150 0.501
In 0.501 0.501 0.150
In 0.738 0.148 0.738
In 0.738 0.738 0.148
In 0.850 0.499 0.499
In 0.852 0.262 0.262
```

***

(3)
Entry from Alexandria: a relaxed Fe2ReOs crystal (PBE). Values from VASP.

Summary:
- symmetry = C2/m, No. 12

Structure (Quantum ESPRESSO input):
```
&SYSTEM
  ibrav = 0, nat = 4, ntyp = 3
/
ATOMIC_SPECIES
Fe 55.84 Fe.upf
Re 186.21 Re.upf
Os 190.23 Os.upf
CELL_PARAMETERS angstrom
4.319 -1.337 0.000
4.319 1.337 0.000
-0.837 0.000 4.554
ATOMIC_POSITIONS crystal
Fe 0.248 0.248 0.248
Fe 0.752 0.752 0.752
Re 0.000 0.000 0.500
Os 0.500 0.500 0.000
```

***

(4)
Entry from Alexandria: a relaxed SrMnW2 crystal (PBE). Values from VASP.

Summary:
- symmetry = R-3m, No. 166
- offset from the most stable computed form (meV/atom) = 240

Structure (Quantum ESPRESSO input):
```
&SYSTEM
  ibrav = 0, nat = 4, ntyp = 3
/
ATOMIC_SPECIES
Sr 87.62 Sr.upf
Mn 54.94 Mn.upf
W 183.84 W.upf
CELL_PARAMETERS angstrom
1.486 0.858 9.588
-1.486 0.858 9.588
0.000 -1.716 9.588
ATOMIC_POSITIONS crystal
Sr 0.000 0.000 0.000
Mn 0.500 0.500 0.500
W 0.233 0.233 0.233
W 0.767 0.767 0.767
```

***

(5)
Entry from Alexandria: a relaxed TlPt2Au crystal (PBE). Values from VASP.

Summary:
- symmetry = Cmmm, No. 65

Structure (Quantum ESPRESSO input):
```
&SYSTEM
  ibrav = 0, nat = 4, ntyp = 3
/
ATOMIC_SPECIES
Tl 204.38 Tl.upf
Pt 195.08 Pt.upf
Au 196.97 Au.upf
CELL_PARAMETERS angstrom
2.975 -3.953 0.000
2.975 3.953 0.000
0.000 0.000 3.054
ATOMIC_POSITIONS crystal
Tl 0.000 0.000 0.000
Pt 0.000 0.500 0.500
Pt 0.500 0.000 0.500
Au 0.500 0.500 0.000
```

***

(6)
Entry from Alexandria: a relaxed TiFe4Si crystal (PBE). Values from VASP.

Summary:
- symmetry = Pmma, No. 51
- formation energy from raw total energies (kJ/mol of atoms) = -21.5
- offset from the most stable computed form (meV/atom) = 0

Structure (Quantum ESPRESSO input):
```
&SYSTEM
  ibrav = 0, nat = 12, ntyp = 3
/
ATOMIC_SPECIES
Ti 47.87 Ti.upf
Fe 55.84 Fe.upf
Si 28.09 Si.upf
CELL_PARAMETERS angstrom
7.675 0.000 0.000
0.000 2.975 0.000
0.000 0.000 6.464
ATOMIC_POSITIONS crystal
Ti 0.250 0.000 0.126
Ti 0.750 0.000 0.874
Fe 0.000 0.000 0.500
Fe 0.034 0.500 0.821
Fe 0.250 0.500 0.444
Fe 0.466 0.500 0.821
Fe 0.500 0.000 0.500
Fe 0.534 0.500 0.179
Fe 0.750 0.500 0.556
Fe 0.966 0.500 0.179
Si 0.250 0.000 0.722
Si 0.750 0.000 0.278
```

***

(7)
Entry from Alexandria: a relaxed La10CeDy4 crystal (PBE). Values from VASP.

Summary:
- symmetry = I4/m, No. 87

Structure (Quantum ESPRESSO input):
```
&SYSTEM
  ibrav = 0, nat = 15, ntyp = 3
/
ATOMIC_SPECIES
La 138.91 La.upf
Ce 140.12 Ce.upf
Dy 162.50 Dy.upf
CELL_PARAMETERS angstrom
-4.959 4.959 5.395
4.959 -4.959 5.395
4.959 4.959 -5.395
ATOMIC_POSITIONS crystal
La 0.042 0.372 0.104
La 0.063 0.958 0.330
La 0.250 0.750 0.500
La 0.268 0.937 0.896
La 0.372 0.268 0.330
La 0.628 0.732 0.670
La 0.732 0.063 0.104
La 0.750 0.250 0.500
La 0.937 0.042 0.670
La 0.958 0.628 0.896
Ce 0.500 0.500 0.000
Dy 0.167 0.440 0.607
Dy 0.440 0.833 0.273
Dy 0.560 0.167 0.727
Dy 0.833 0.560 0.393
```

***

(8)
Entry from Alexandria: a relaxed U2IrOs crystal (PBE). Values from VASP.

Summary:
- symmetry = P4/mmm, No. 123
- offset from the most stable computed form (meV/atom) = 16

Structure (Quantum ESPRESSO input):
```
&SYSTEM
  ibrav = 0, nat = 4, ntyp = 3
/
ATOMIC_SPECIES
U 238.03 U.upf
Ir 192.22 Ir.upf
Os 190.23 Os.upf
CELL_PARAMETERS angstrom
4.215 0.000 0.000
0.000 4.215 0.000
0.000 0.000 4.124
ATOMIC_POSITIONS crystal
U 0.000 0.500 0.000
U 0.500 0.000 0.000
Ir 0.000 0.000 0.500
Os 0.500 0.500 0.500
```

***

The following total energy values (in eV/cell) correspond, in order, to the records above: -49.1 -44.5 -40.0 -32.6 -17.6 -97.0 -69.5 -43.5.